Record 1
The following is a SCAN calculation of LaIn2Pb at its PBEsol-relaxed geometry, from Alexandria via LeMat-Bulk.

Computed properties:
Formation energy from the elements in eV per atom: -0.6065
Crystal system: tetragonal

a = 4.6604 Å, b = 4.6604 Å, c = 4.9317 Å
α = 90.00°, β = 90.00°, γ = 90.00°
Space group P4/mmm (No. 123)
Inequivalent atoms, fractional coordinates:
La: 0.0000 0.0000 0.0000 [1 per cell]
In: 0.0000 0.5000 0.5000 [2 per cell]
Pb: 0.5000 0.5000 0.0000 [1 per cell]

=====

Record 2
The following is a SCAN calculation of LaInPb at its PBEsol-relaxed geometry, from Alexandria via LeMat-Bulk.

Computed properties:
Offset from the most stable computed form in eV/atom: 0.000
Formation energy from the elements in eV per atom: -0.7041
Crystal system: trigonal

a = 4.7736 Å, b = 4.7736 Å, c = 4.5024 Å
α = 90.00°, β = 90.00°, γ = 120.00°
Space group P3m1 (No. 156)
Inequivalent atoms, fractional coordinates:
La: 0.0000 0.0000 0.0000 [1 per cell]
In: 0.6667 0.3333 0.6340 [1 per cell]
Pb: 0.3333 0.6667 0.3986 [1 per cell]

=====

| no. | V (Å³/atom) | N(E_F) (states/eV/f.u.) | DFT total energy (eV per atom) |
| --- | --- | --- | --- |
| 1 | 26.8 | 1.92 | -47.0213 |
| 2 | 29.6 | 0.58 | -51.4616 |